No. 1
Entry from Alexandria: a geometry-optimized TcTe2P structure (PBE).

Summary:
energy relative to the elements, uncorrected: 0.387 eV per atom

a b c (Å): 7.7711 7.7711 7.7711
angles (deg): 26.57 26.57 26.57
Closest atoms and distances in Å follow each position.
Atoms (fractional coordinates):
Tc 0.5000 0.5000 0.5000  6 Te 2.76
Te 0.7515 0.7515 0.7515  3 Tc 2.76, 3 P 2.81
Te 0.2485 0.2485 0.2485  3 Tc 2.76, 3 P 2.81
P 0.0000 0.0000 0.0000  6 Te 2.81



No. 2
Entry from Alexandria: a geometry-optimized Ce2DyY structure (PBE).

Summary:
offset from the most stable computed form: 20 meV/atom
formation energy: 0.114 eV/atom

a b c (Å): 5.0717 4.9189 4.9189
angles (deg): 90.00 90.00 90.00
Closest atoms and distances in Å follow each position.
Atoms (fractional coordinates):
Y 0.5000 0.5000 0.5000  4 Dy 3.48, 8 Ce 3.53
Ce 0.0000 0.0000 0.5000  4 Ce 3.48, 4 Dy 3.53, 4 Y 3.53
Ce 0.0000 0.5000 0.0000  4 Ce 3.48, 4 Dy 3.53, 4 Y 3.53
Dy 0.5000 0.0000 0.0000  4 Y 3.48, 8 Ce 3.53



No. 3
Entry from Alexandria: a geometry-optimized SiAg2Cl structure (PBE).

Summary:
energy relative to the elements, uncorrected: 0.086 eV per atom
offset from the most stable computed form: 67 meV/atom

a b c (Å): 3.1469 3.3015 7.5228
angles (deg): 89.88 90.00 90.00
Closest atoms and distances in Å follow each position.
Atoms (fractional coordinates):
Ag 0.0000 0.2476 0.9614  2 Cl 2.68, 4 Si 2.78
Ag 0.0000 0.2524 0.5386  2 Cl 2.68, 4 Si 2.78
Cl 0.5000 0.2500 0.2500  4 Ag 2.68
Si 0.5000 0.7500 0.7500  8 Ag 2.78



No. 4
Entry from Alexandria: a geometry-optimized Hg2PdPb4 structure (PBE).

Summary:
formation energy: -0.022 eV/atom

a b c (Å): 3.5195 6.1974 9.2792
angles (deg): 102.12 90.00 90.00
Closest atoms and distances in Å follow each position.
Atoms (fractional coordinates):
Hg 0.5000 0.8226 0.5426  2 Hg 3.05-3.34, 3 Pb 3.14-3.33
Hg 0.5000 0.3203 0.4575  2 Hg 3.05-3.34, 3 Pb 3.14-3.33
Pd 0.0000 0.0715 0.0001  6 Pb 2.78-2.82
Pb 0.5000 0.7353 0.8637  2 Pd 2.82, 1 Hg 3.14
Pb 0.0000 0.2517 0.7496  1 Pd 2.78
Pb 0.5000 0.4076 0.1364  2 Pd 2.82, 1 Hg 3.14
Pb 0.0000 0.8912 0.2505  1 Pd 2.78